A plane-wave DFT calculation with PBE was carried out for SrTiS2Cl after structural relaxation.

The structure in POSCAR format:
```
SrTiS2Cl
1.0
5.4784 0.0000 0.0000
0.0000 5.4784 0.0000
0.0000 0.0000 5.2774
Sr Ti S Cl
1 1 2 1
Direct
0.0000 0.0000 0.0000 Sr
0.5000 0.5000 0.5000 Ti
0.0000 0.5000 0.0000 S
0.5000 0.0000 0.0000 S
0.0000 0.0000 0.5000 Cl
```

## Properties
Energy: -0.145 Ha/atom
Formation energy without anion corrections: -0.008 eV per atom
Space group: P4/mmm (123)
Offset from the most stable computed form: 1579.2 meV per atom
Size of the total moment: 0.40 μB per cell

=====

A plane-wave DFT calculation with PBE was carried out for SrTiSCl2 after structural relaxation.

The structure in POSCAR format:
```
SrTiSCl2
1.0
4.9127 0.0000 0.0000
0.0000 4.9127 0.0000
0.0000 0.0000 4.9244
Sr Ti S Cl
1 1 1 2
Direct
0.0000 0.0000 0.0000 Sr
0.5000 0.5000 0.5000 Ti
0.5000 0.5000 0.0000 S
0.0000 0.5000 0.5000 Cl
0.5000 0.0000 0.5000 Cl
```

## Properties
Energy: -0.184 Ha/atom
Formation energy without anion corrections: -1.531 eV per atom
Space group: P4/mmm (123)
Offset from the most stable computed form: 0.0 meV per atom
Size of the total moment: 1.93 μB per cell

=====

A plane-wave DFT calculation with PBE was carried out for SrVS2Cl after structural relaxation.

The structure in POSCAR format:
```
SrVS2Cl
1.0
4.7566 0.0000 0.0000
0.0000 4.7566 0.0000
0.0000 0.0000 4.8294
Sr V S Cl
1 1 2 1
Direct
0.0000 0.0000 0.0000 Sr
0.5000 0.5000 0.5000 V
0.0000 0.5000 0.5000 S
0.5000 0.0000 0.5000 S
0.5000 0.5000 0.0000 Cl
```

## Properties
Energy: -0.202 Ha/atom
Formation energy without anion corrections: -1.306 eV per atom
Space group: P4/mmm (123)
Offset from the most stable computed form: 0.0 meV per atom
Size of the total moment: 1.97 μB per cell

=====

A plane-wave DFT calculation with PBE was carried out for SrVS2Cl after structural relaxation.

The structure in POSCAR format:
```
SrVS2Cl
1.0
5.5653 0.0000 0.0000
0.0000 5.5653 0.0000
0.0000 0.0000 5.3368
Sr V S Cl
1 1 2 1
Direct
0.0000 0.0000 0.0000 Sr
0.5000 0.5000 0.5000 V
0.0000 0.5000 0.0000 S
0.5000 0.0000 0.0000 S
0.0000 0.0000 0.5000 Cl
```

## Properties
Energy: -0.150 Ha/atom
Formation energy without anion corrections: 0.103 eV per atom
Space group: P4/mmm (123)
Offset from the most stable computed form: 1408.8 meV per atom
Size of the total moment: 1.98 μB per cell

=====

A plane-wave DFT calculation with PBE was carried out for SrWSCl2 after structural relaxation.

The structure in POSCAR format:
```
SrWSCl2
1.0
5.0235 0.0000 0.0000
0.0000 5.0235 0.0000
0.0000 0.0000 4.6173
Sr W S Cl
1 1 1 2
Direct
0.0000 0.0000 0.0000 Sr
0.5000 0.5000 0.5000 W
0.5000 0.5000 0.0000 S
0.0000 0.5000 0.5000 Cl
0.5000 0.0000 0.5000 Cl
```

## Properties
Energy: -0.189 Ha/atom
Formation energy without anion corrections: -0.655 eV per atom
Space group: P4/mmm (123)
Offset from the most stable computed form: 0.0 meV per atom
Size of the total moment: 0.50 μB per cell

=====

A plane-wave DFT calculation with PBE was carried out for SrWS2Cl after structural relaxation.

The structure in POSCAR format:
```
SrWS2Cl
1.0
5.5884 0.0000 0.0000
0.0000 5.5884 0.0000
0.0000 0.0000 5.2555
Sr W S Cl
1 1 2 1
Direct
0.0000 0.0000 0.0000 Sr
0.5000 0.5000 0.5000 W
0.0000 0.5000 0.0000 S
0.5000 0.0000 0.0000 S
0.0000 0.0000 0.5000 Cl
```

## Properties
Energy: -0.150 Ha/atom
Formation energy without anion corrections: 0.856 eV per atom
Space group: P4/mmm (123)
Offset from the most stable computed form: 1695.7 meV per atom
Size of the total moment: 2.99 μB per cell

=====

A plane-wave DFT calculation with PBE was carried out for SrWS2Cl after structural relaxation.

The structure in POSCAR format:
```
SrWS2Cl
1.0
4.6841 0.0000 0.0000
0.0000 4.6841 0.0000
0.0000 0.0000 5.1784
Sr W S Cl
1 1 2 1
Direct
0.0000 0.0000 0.0000 Sr
0.5000 0.5000 0.5000 W
0.0000 0.5000 0.5000 S
0.5000 0.0000 0.5000 S
0.5000 0.5000 0.0000 Cl
```

## Properties
Energy: -0.213 Ha/atom
Formation energy without anion corrections: -0.839 eV per atom
Space group: P4/mmm (123)
Offset from the most stable computed form: 0.0 meV per atom
Size of the total moment: 0.00 μB per cell

=====

A plane-wave DFT calculation with PBE was carried out for SrWSCl2 after structural relaxation.

The structure in POSCAR format:
```
SrWSCl2
1.0
5.3478 0.0000 0.0000
0.0000 5.3478 0.0000
0.0000 0.0000 5.9194
Sr W S Cl
1 1 1 2
Direct
0.0000 0.0000 0.0000 Sr
0.5000 0.5000 0.5000 W
0.0000 0.0000 0.5000 S
0.0000 0.5000 0.0000 Cl
0.5000 0.0000 0.0000 Cl
```

## Properties
Energy: -0.151 Ha/atom
Formation energy without anion corrections: 0.371 eV per atom
Space group: P4/mmm (123)
Offset from the most stable computed form: 1026.0 meV per atom
Size of the total moment: 4.00 μB per cell

=====

A plane-wave DFT calculation with PBE was carried out for SrYS2Cl after structural relaxation.

The structure in POSCAR format:
```
SrYS2Cl
1.0
5.4681 0.0000 0.0000
0.0000 5.4681 0.0000
0.0000 0.0000 5.1229
Sr Y S Cl
1 1 2 1
Direct
0.0000 0.0000 0.0000 Sr
0.5000 0.5000 0.5000 Y
0.0000 0.5000 0.0000 S
0.5000 0.0000 0.0000 S
0.0000 0.0000 0.5000 Cl
```

## Properties
Energy: -0.168 Ha/atom
Formation energy without anion corrections: -0.911 eV per atom
Space group: P4/mmm (123)
Offset from the most stable computed form: 968.1 meV per atom
Size of the total moment: 0.00 μB per cell

=====

A plane-wave DFT calculation with PBE was carried out for SrYSCl2 after structural relaxation.

The structure in POSCAR format:
```
SrYSCl2
1.0
5.2383 0.0000 0.0000
0.0000 5.2383 0.0000
0.0000 0.0000 5.3309
Sr Y S Cl
1 1 1 2
Direct
0.0000 0.0000 0.0000 Sr
0.5000 0.5000 0.5000 Y
0.5000 0.5000 0.0000 S
0.0000 0.5000 0.5000 Cl
0.5000 0.0000 0.5000 Cl
```

## Properties
Energy: -0.181 Ha/atom
Formation energy without anion corrections: -1.736 eV per atom
Space group: P4/mmm (123)
Offset from the most stable computed form: 0.0 meV per atom
Size of the total moment: 0.00 μB per cell

=====

A plane-wave DFT calculation with PBE was carried out for SrYSCl2 after structural relaxation.

The structure in POSCAR format:
```
SrYSCl2
1.0
5.3230 0.0000 0.0000
0.0000 5.3230 0.0000
0.0000 0.0000 5.7705
Sr Y S Cl
1 1 1 2
Direct
0.0000 0.0000 0.0000 Sr
0.5000 0.5000 0.5000 Y
0.0000 0.0000 0.5000 S
0.0000 0.5000 0.0000 Cl
0.5000 0.0000 0.0000 Cl
```

## Properties
Energy: -0.160 Ha/atom
Formation energy without anion corrections: -1.159 eV per atom
Space group: P4/mmm (123)
Offset from the most stable computed form: 577.4 meV per atom
Size of the total moment: 0.95 μB per cell

=====

A plane-wave DFT calculation with PBE was carried out for SrYS2Cl after structural relaxation.

The structure in POSCAR format:
```
SrYS2Cl
1.0
5.2882 0.0000 0.0000
0.0000 5.2882 0.0000
0.0000 0.0000 5.1375
Sr Y S Cl
1 1 2 1
Direct
0.0000 0.0000 0.0000 Sr
0.5000 0.5000 0.5000 Y
0.0000 0.5000 0.5000 S
0.5000 0.0000 0.5000 S
0.5000 0.5000 0.0000 Cl
```

## Properties
Energy: -0.203 Ha/atom
Formation energy without anion corrections: -1.879 eV per atom
Space group: P4/mmm (123)
Offset from the most stable computed form: 0.0 meV per atom
Size of the total moment: 0.00 μB per cell